# NbSiMo (PBE, relaxed)
# E   -28.0 eV per formula unit
# Theoretical density   7.7 g/cm3
data_NbSiMo
_cell_length_a 6.9465
_cell_length_b 6.9465
_cell_length_c 3.3496
_cell_angle_alpha 90.00
_cell_angle_beta 90.00
_cell_angle_gamma 120.00
_space_group_name_H-M_alt 'P -6 2 m'
_space_group_IT_number 189
_space_group_name_Hall 'P -6 -2'
loop_
_atom_site_label
_atom_site_fract_x
_atom_site_fract_y
_atom_site_fract_z
Nb1 0.0000 0.4029 0.0000
Si1 0.0000 0.0000 0.0000
Si2 0.3333 0.6667 0.5000
Mo1 0.0000 0.7417 0.5000

# Tm4TlSnB2 (PBE, relaxed)
# E   -39.2 eV per formula unit
# Theoretical density   9.2 g/cm3
data_Tm4TlSnB2
_cell_length_a 3.5932
_cell_length_b 3.5932
_cell_length_c 16.4487
_cell_angle_alpha 90.00
_cell_angle_beta 90.00
_cell_angle_gamma 120.00
_space_group_name_H-M_alt 'P -6 m 2'
_space_group_IT_number 187
_space_group_name_Hall 'P -6 2'
loop_
_atom_site_label
_atom_site_fract_x
_atom_site_fract_y
_atom_site_fract_z
Tm1 0.0000 0.0000 0.1560
Tm2 0.3333 0.6667 0.3396
Tl1 0.0000 0.0000 0.5000
Sn1 0.3333 0.6667 0.0000
B1 0.6667 0.3333 0.2475

# NpP2 (PBE, relaxed)
# E   -25.7 eV per formula unit
# Theoretical density   9.1 g/cm3
data_NpP2
_cell_length_a 3.751
_cell_length_b 3.764
_cell_length_c 7.717
_cell_angle_alpha 90.00
_cell_angle_beta 90.00
_cell_angle_gamma 90.00
_space_group_name_H-M_alt 'P m m n'
_space_group_IT_number 59
loop_
_space_group_symop_operation_xyz
'x,y,z'
'-x,-y,-z'
'-x+1/2,-y+1/2,z'
'x+1/2,y+1/2,-z'
'x+1/2,-y,-z'
'-x+1/2,y,z'
'-x,y+1/2,-z'
'x,-y+1/2,z'
loop_
_atom_site_label
_atom_site_fract_x
_atom_site_fract_y
_atom_site_fract_z
Np1 0.250 0.250 0.215
P1 0.250 0.250 0.857
P2 0.250 0.750 0.500

> What is the formula in the second record?

Tm4TlSnB2